{"formula": "Ag2RuRh", "functional": "PBE-GGA", "state": "relaxed", "dos_at_fermi_per_ev_cell": 5.3, "sg": "No. 65", "vol_a3_per_atom": 15.95, "total_energy_ev_per_atom": -5.070, "cell": [[2.6960, -4.3595, 0.0000], [2.6960, 4.3595, 0.0000], [0.0000, 0.0000, 2.7141]], "species": ["Ag", "Ag", "Ru", "Rh"], "fractional_positions": [[0.0000, 0.5000, 0.0000], [0.5000, 0.0000, 0.0000], [0.0000, 0.0000, 0.5000], [0.5000, 0.5000, 0.5000]]}